The following is a DFT calculation (GGA-PBE) of a relaxed structure of TeRuW.

Properties
- Calculated density: 12910 kg/m3
- DFT total energy: -7.9508 eV/atom
- N(E_F): 1.6 states/eV per cell
- Offset from the most stable computed form: 92 meV per atom

Unit cell a=3.0505 b=3.0505 c=6.5838 alpha=90.00 beta=90.00 gamma=120.00
Space group P3m1 (No. 156)
Asymmetric unit:
Te: 0.0000 0.0000 0.0000
Ru: 0.3333 0.6667 0.6512
W: 0.6667 0.3333 0.3516